VASP calculation (PBE with a Hubbard U) on a geometry-optimized MnHPdNO structure.

Values from the calculation:
Magnetization: 3.12 μB/f.u.
E above lowest polymorph: 67 meV per atom
SG: R3m (160)
DOS(E_F): 0.720 states/eV/cell

a b c (Å): 3.0517 3.0529 6.3847
angles (deg): 89.99 103.83 120.00
Positions (direct):
H 0.9486 0.5395 0.5113
N 0.8304 0.9805 0.8330
O 0.3823 0.7565 0.1609
Mn 0.6019 0.3662 0.9902
Pd 0.6113 0.8710 0.5046